No. 1
Material: Cs2MnRhS4
Method: DFT, PBE-GGA
State: optimized geometry

Cell lengths 5.4244, 14.3629, 24.3868 Å; angles 90.00, 90.00, 90.00 degrees
Space group Fddd (No. 70, origin choice 2)
One atom of each set of equivalent atoms:
Cs: 0.1250 0.1250 0.3013 x16
Mn: 0.1250 0.1250 0.6250 x8
Rh: 0.1250 0.1250 0.1250 x8
S: 0.1058 0.2859 0.8246 x32

Computed properties:
E_tot (eV per cell): -328.933
Total magnetic moment (μB/f.u.): 1.80
DOS(E_F) (states/eV/cell): 69.71
E_form (uncorrected) (kJ/mol of formula units): -615



No. 2
Material: CuNiSe2
Method: DFT, PBE-GGA
State: optimized geometry

Cell lengths 5.6163, 6.9714, 4.4665 Å; angles 90.00, 128.71, 90.00 degrees
Space group C2/m (No. 12)
One atom of each set of equivalent atoms:
Cu: 0.0000 0.0000 0.0000 x2
Ni: 0.0000 0.5000 0.0000 x2
Se: 0.2500 0.2500 0.5000 x4

Computed properties:
E_tot (eV per cell): -32.822
Total magnetic moment (μB/f.u.): 0.00
DOS(E_F) (states/eV/cell): 5.05
E_form (uncorrected) (kJ/mol of formula units): 42



No. 3
Material: SrUSb2
Method: DFT, PBE-GGA
State: optimized geometry

Cell lengths 3.8091, 3.8091, 8.0961 Å; angles 90.00, 90.00, 90.00 degrees
Space group P4/mmm (No. 123)
One atom of each set of equivalent atoms:
Sr: 0.0000 0.0000 0.0000 x1
U: 0.0000 0.0000 0.5000 x1
Sb: 0.5000 0.5000 0.2755 x2

Computed properties:
E_tot (eV per cell): -23.134
Total magnetic moment (μB/f.u.): 2.54
DOS(E_F) (states/eV/cell): 4.81
Energy relative to the lowest polymorph listed for this composition (eV/atom): 0.099
E_form (uncorrected) (kJ/mol of formula units): -185



What is the formula in the third record?
SrUSb2